# Na2Zn5Ag2Au

A relaxed structure of Na2Zn5Ag2Au (PBE-GGA, Alexandria).

Crystal system   tetragonal
Formation energy   -0.0471 eV/atom
Calculated density   6.7 g/cm³

Cell lengths 11.4062, 11.4062, 2.9858 Å; angles 90.00, 90.00, 90.00 degrees
Closest atoms and distances in Å follow each position.
Element x y z (fractional)
Na1 0.1719 0.3281 0.0000  2 Na 2.99, 1 Ag 3.10, 2 Zn 3.15
Na2 0.3281 0.8281 0.0000  2 Na 2.99, 1 Ag 3.10, 2 Zn 3.15
Na3 0.6719 0.1719 0.0000  2 Na 2.99, 1 Ag 3.10, 2 Zn 3.15
Na4 0.8281 0.6719 0.0000  2 Na 2.99, 1 Ag 3.10, 2 Zn 3.15
Zn1 0.0000 0.5000 0.5000  4 Ag 2.66
Zn2 0.0605 0.8146 0.5000  2 Ag 2.67, 2 Au 2.68, 2 Zn 2.99
Zn3 0.1854 0.0605 0.5000  2 Ag 2.67, 2 Au 2.68, 2 Zn 2.99
Zn4 0.3146 0.5605 0.5000  2 Ag 2.67, 2 Au 2.68, 2 Zn 2.99
Zn5 0.4395 0.3146 0.5000  2 Ag 2.67, 2 Au 2.68, 2 Zn 2.99
Zn6 0.5000 0.0000 0.5000  4 Ag 2.66
Zn7 0.5605 0.6854 0.5000  2 Ag 2.67, 2 Au 2.68, 2 Zn 2.99
Zn8 0.6854 0.4395 0.5000  2 Ag 2.67, 2 Au 2.68, 2 Zn 2.99
Zn9 0.8146 0.9395 0.5000  2 Ag 2.67, 2 Au 2.68, 2 Zn 2.99
Zn10 0.9395 0.1854 0.5000  2 Ag 2.67, 2 Au 2.68, 2 Zn 2.99
Ag1 0.1362 0.6362 0.0000  6 Zn 2.66-2.67
Ag2 0.3638 0.1362 0.0000  6 Zn 2.66-2.67
Ag3 0.6362 0.8638 0.0000  6 Zn 2.66-2.67
Ag4 0.8638 0.3638 0.0000  6 Zn 2.66-2.67
Au1 0.0000 0.0000 0.0000  8 Zn 2.68, 2 Au 2.99
Au2 0.5000 0.5000 0.0000  8 Zn 2.68, 2 Au 2.99

---

# NaZnAgAu

A relaxed structure of NaZnAgAu (PBE-GGA, Alexandria).

Crystal system   tetragonal
Formation energy   -0.1328 eV/atom
Polymorph energy (0 for the lowest one)   0.0 meV/atom
Calculated density   9.0 g/cm³

Cell lengths 4.4367, 4.4367, 7.3826 Å; angles 90.00, 90.00, 90.00 degrees
Closest atoms and distances in Å follow each position.
Element x y z (fractional)
Na1 0.2500 0.2500 0.2493  4 Ag 2.88, 4 Zn 2.89, 4 Au 3.15
Na2 0.7500 0.7500 0.7507  4 Ag 2.88, 4 Zn 2.89, 4 Au 3.15
Zn1 0.2500 0.7500 0.5000  4 Au 2.75, 4 Na 2.89
Zn2 0.7500 0.2500 0.5000  4 Au 2.75, 4 Na 2.89
Ag1 0.2500 0.7500 0.0000  4 Na 2.88, 4 Au 3.03, 4 Ag 3.14
Ag2 0.7500 0.2500 0.0000  4 Na 2.88, 4 Au 3.03, 4 Ag 3.14
Au1 0.2500 0.2500 0.7197  4 Zn 2.75, 4 Ag 3.03
Au2 0.7500 0.7500 0.2803  4 Zn 2.75, 4 Ag 3.03

---

# Na2ZnAgAu6

A relaxed structure of Na2ZnAgAu6 (PBE-GGA, Alexandria).

Crystal system   cubic
Formation energy   0.1469 eV/atom
Calculated density   9.0 g/cm³

Cell lengths 7.1556, 7.1556, 7.1556 Å; angles 60.00, 60.00, 60.00 degrees
Closest atoms and distances in Å follow each position.
Element x y z (fractional)
Na1 0.2500 0.2500 0.2500  12 Au 3.58
Na2 0.7500 0.7500 0.7500  12 Au 3.58
Zn1 0.0000 0.0000 0.0000  6 Au 2.45
Ag1 0.5000 0.5000 0.5000  6 Au 2.61
Au1 0.2419 0.2419 0.7581  1 Zn 2.45, 1 Ag 2.61
Au2 0.2419 0.7581 0.2419  1 Zn 2.45, 1 Ag 2.61
Au3 0.2419 0.7581 0.7581  1 Zn 2.45, 1 Ag 2.61
Au4 0.7581 0.2419 0.2419  1 Zn 2.45, 1 Ag 2.61
Au5 0.7581 0.2419 0.7581  1 Zn 2.45, 1 Ag 2.61
Au6 0.7581 0.7581 0.2419  1 Zn 2.45, 1 Ag 2.61

---

# NaZnAgAu

A relaxed structure of NaZnAgAu (PBE-GGA, Alexandria).

Crystal system   cubic
Formation energy   -0.0978 eV/atom
Polymorph energy (0 for the lowest one)   35.0 meV/atom
Calculated density   8.9 g/cm³

Cell lengths 4.6973, 4.6973, 4.6973 Å; angles 60.00, 60.00, 60.00 degrees
Closest atoms and distances in Å follow each position.
Element x y z (fractional)
Na1 0.0000 0.0000 0.0000  4 Zn 2.88, 4 Ag 2.88
Zn1 0.7500 0.7500 0.7500  4 Au 2.88, 4 Na 2.88
Ag1 0.2500 0.2500 0.2500  4 Au 2.88, 4 Na 2.88
Au1 0.5000 0.5000 0.5000  4 Zn 2.88, 4 Ag 2.88

---

# NbAgAu3

A relaxed structure of NbAgAu3 (PBE-GGA, Alexandria).

Crystal system   cubic
Formation energy   0.9497 eV/atom
Polymorph energy (0 for the lowest one)   0.0 meV/atom
Calculated density   9.8 g/cm³

Cell lengths 5.1274, 5.1274, 5.1274 Å; angles 90.00, 90.00, 90.00 degrees
Closest atoms and distances in Å follow each position.
Element x y z (fractional)
Nb1 0.0000 0.0000 0.0000  6 Au 2.56
Ag1 0.5000 0.5000 0.5000  12 Au 3.63
Au1 0.0000 0.0000 0.5000  2 Nb 2.56
Au2 0.0000 0.5000 0.0000  2 Nb 2.56
Au3 0.5000 0.0000 0.0000  2 Nb 2.56

---

# NbAgAu

A relaxed structure of NbAgAu (PBE-GGA, Alexandria).

Crystal system   orthorhombic
Formation energy   -0.0916 eV/atom
Polymorph energy (0 for the lowest one)   0.0 meV/atom
Calculated density   12.3 g/cm³

Cell lengths 2.8687, 2.8687, 13.0974 Å; angles 90.00, 90.00, 92.50 degrees
Closest atoms and distances in Å follow each position.
Element x y z (fractional)
Nb1 0.2500 0.7500 0.9130  8 Nb 2.87-3.08, 4 Au 2.91-2.97
Nb2 0.7500 0.2500 0.0870  8 Nb 2.87-3.08, 4 Au 2.91-2.97
Ag1 0.2500 0.7500 0.5824  8 Ag 2.87-2.99, 4 Au 2.96-3.02
Ag2 0.7500 0.2500 0.4176  8 Ag 2.87-2.99, 4 Au 2.96-3.02
Au1 0.2500 0.7500 0.2498  4 Au 2.87, 4 Nb 2.91-2.97, 4 Ag 2.96-3.02
Au2 0.7500 0.2500 0.7502  4 Au 2.87, 4 Nb 2.91-2.97, 4 Ag 2.96-3.02

---

# NbAgAu

A relaxed structure of NbAgAu (PBE-GGA, Alexandria).

Crystal system   triclinic
Formation energy   0.0596 eV/atom
Polymorph energy (0 for the lowest one)   151.2 meV/atom
Calculated density   12.3 g/cm³

Cell lengths 2.8748, 2.8860, 12.9076 Å; angles 89.90, 89.87, 89.84 degrees
Closest atoms and distances in Å follow each position.
Element x y z (fractional)
Nb1 0.2493 0.2501 0.2512  4 Nb 2.87-2.89, 4 Au 2.91, 4 Ag 2.97-2.98
Nb2 0.7507 0.7499 0.7488  4 Nb 2.87-2.89, 4 Au 2.91, 4 Ag 2.97-2.98
Ag1 0.2498 0.2494 0.9167  8 Ag 2.87-2.97, 4 Nb 2.97-2.98
Ag2 0.7502 0.7506 0.0833  8 Ag 2.87-2.97, 4 Nb 2.97-2.98
Au1 0.2516 0.2506 0.5876  8 Au 2.87-3.06, 4 Nb 2.91
Au2 0.7484 0.7494 0.4124  8 Au 2.87-3.06, 4 Nb 2.91

---

# Nb2AgAu

A relaxed structure of Nb2AgAu (PBE-GGA, Alexandria).

Crystal system   tetragonal
Formation energy   0.5315 eV/atom
Calculated density   10.5 g/cm³

Cell lengths 6.0110, 6.0110, 6.0110 Å; angles 101.40, 101.40, 127.20 degrees
Closest atoms and distances in Å follow each position.
Element x y z (fractional)
Nb1 0.1161 0.6250 0.9911  2 Nb 2.68, 2 Au 2.73, 2 Ag 2.82
Nb2 0.3750 0.3661 0.4911  2 Nb 2.68, 2 Au 2.73, 2 Ag 2.82
Nb3 0.6339 0.1250 0.0089  2 Nb 2.68, 2 Au 2.73, 2 Ag 2.82
Nb4 0.8750 0.8839 0.5089  2 Nb 2.68, 2 Au 2.73, 2 Ag 2.82
Ag1 0.2500 0.7500 0.5000  2 Au 2.67, 4 Nb 2.82
Ag2 0.5000 0.5000 0.0000  2 Au 2.67, 4 Nb 2.82
Au1 0.0000 0.0000 0.0000  2 Ag 2.67, 4 Nb 2.73
Au2 0.7500 0.2500 0.5000  2 Ag 2.67, 4 Nb 2.73

---

# NbAgAu

A relaxed structure of NbAgAu (PBE-GGA, Alexandria).

Crystal system   trigonal
Formation energy   0.0959 eV/atom
Polymorph energy (0 for the lowest one)   187.5 meV/atom
Calculated density   12.2 g/cm³

Cell lengths 2.9164, 2.9164, 7.3280 Å; angles 90.00, 90.00, 120.00 degrees
Closest atoms and distances in Å follow each position.
Element x y z (fractional)
Nb1 0.0000 0.0000 0.0000  3 Au 2.92, 6 Nb 2.92, 3 Ag 3.00
Ag1 0.3333 0.6667 0.6615  6 Ag 2.92, 3 Au 2.99, 3 Nb 3.00
Au1 0.6667 0.3333 0.3249  3 Nb 2.92, 6 Au 2.92, 3 Ag 2.99

---

# NbAg2Au6

A relaxed structure of NbAg2Au6 (PBE-GGA, Alexandria).

Crystal system   triclinic
Formation energy   -0.0340 eV/atom
Calculated density   15.3 g/cm³

Cell lengths 5.0932, 7.6181, 9.0612 Å; angles 74.25, 73.86, 89.81 degrees
Closest atoms and distances in Å follow each position.
Element x y z (fractional)
Nb1 0.1007 0.3741 0.1027  1 Nb 2.70, 10 Au 2.86-3.02
Nb2 0.8993 0.6259 0.8973  1 Nb 2.70, 10 Au 2.86-3.02
Ag1 0.2246 0.9686 0.2197  10 Au 2.90-3.01, 1 Ag 2.95, 1 Nb 3.11
Ag2 0.4476 0.6951 0.4434  10 Au 2.93-2.96, 2 Ag 2.95-2.97
Ag3 0.5524 0.3049 0.5566  10 Au 2.93-2.96, 2 Ag 2.95-2.97
Ag4 0.7754 0.0314 0.7803  10 Au 2.90-3.01, 1 Ag 2.95, 1 Nb 3.11
Au1 0.0022 0.4250 0.6646  1 Nb 2.86, 7 Au 2.90-3.01, 4 Ag 2.93-3.01
Au2 0.1117 0.1925 0.4411  7 Au 2.88-2.98, 4 Ag 2.91-2.99, 1 Nb 3.02
Au3 0.2198 0.1436 0.8917  1 Nb 2.88, 7 Au 2.91-3.01, 4 Ag 2.92-2.95
Au4 0.3228 0.9189 0.6678  7 Au 2.88-2.99, 4 Ag 2.90-2.98, 1 Nb 3.00
Au5 0.3396 0.7491 0.9968  7 Au 2.86-3.01, 3 Nb 2.88-2.97, 2 Ag 2.90-2.95
Au6 0.4508 0.5311 0.7781  7 Au 2.86-2.98, 3 Nb 2.88-2.95, 2 Ag 2.93-2.96
Au7 0.5492 0.4689 0.2219  7 Au 2.86-2.98, 3 Nb 2.88-2.95, 2 Ag 2.93-2.96
Au8 0.6604 0.2509 0.0032  7 Au 2.86-3.01, 3 Nb 2.88-2.97, 2 Ag 2.90-2.95
Au9 0.6772 0.0811 0.3322  7 Au 2.88-2.99, 4 Ag 2.90-2.98, 1 Nb 3.00
Au10 0.7802 0.8564 0.1083  1 Nb 2.88, 7 Au 2.91-3.01, 4 Ag 2.92-2.95
Au11 0.8883 0.8075 0.5589  7 Au 2.88-2.98, 4 Ag 2.91-2.99, 1 Nb 3.02
Au12 0.9978 0.5750 0.3354  1 Nb 2.86, 7 Au 2.90-3.01, 4 Ag 2.93-3.01

---

# Nb3AgAu

A relaxed structure of Nb3AgAu (PBE-GGA, Alexandria).

Crystal system   cubic
Formation energy   1.5980 eV/atom
Polymorph energy (0 for the lowest one)   0.0 meV/atom
Calculated density   7.9 g/cm³

Cell lengths 4.9727, 4.9727, 4.9727 Å; angles 90.00, 90.00, 90.00 degrees
Closest atoms and distances in Å follow each position.
Element x y z (fractional)
Nb1 0.0000 0.0000 0.5000  2 Au 2.49
Nb2 0.0000 0.5000 0.0000  2 Au 2.49
Nb3 0.5000 0.0000 0.0000  2 Au 2.49
Ag1 0.5000 0.5000 0.5000  12 Nb 3.52
Au1 0.0000 0.0000 0.0000  6 Nb 2.49

---

# NbAgAu

A relaxed structure of NbAgAu (PBE-GGA, Alexandria).

Crystal system   tetragonal
Formation energy   0.0533 eV/atom
Polymorph energy (0 for the lowest one)   145.0 meV/atom
Calculated density   12.4 g/cm³

Cell lengths 6.7686, 6.7686, 6.7686 Å; angles 155.45, 155.45, 34.99 degrees
Closest atoms and distances in Å follow each position.
Element x y z (fractional)
Nb1 0.0000 0.0000 0.0000  4 Nb 2.88, 4 Au 2.91, 4 Ag 2.98
Ag1 0.3317 0.3317 0.0000  4 Ag 2.88, 4 Nb 2.98, 4 Au 2.99
Au1 0.6615 0.6615 0.0000  4 Au 2.88, 4 Nb 2.91, 4 Ag 2.99